RbSc2CuBr8 GGA-PBE optimized geometry; magnetization = 0.013 μB/atom; electronic total energy = -4.019 eV/atom; space-group type = No. 2
1.0
7.622 2.128 0.536
2.254 8.480 -0.441
0.663 -0.581 7.994
Br Sc Rb Cu
8 2 1 1
Direct
0.096 0.740 0.823
0.503 0.703 0.493
0.481 0.717 0.054
0.497 0.297 0.507
0.519 0.283 0.946
0.120 0.602 0.296
0.880 0.398 0.704
0.904 0.260 0.177
0.511 0.523 0.756
0.489 0.477 0.244
0.000 0.000 0.500
0.000 0.000 0.000